Here is a relaxed Rb2I3Cl6 crystal from Alexandria via LeMat-Bulk. Energies are from GGA-PBE.

## Properties
spin magnetization: 0.00 Bohr magnetons per cell
calculated total energy: -2.431 eV/atom
formation energy from raw total energies: -0.825 eV per atom
calculated volume: 44.9 A^3/atom

```
data_Rb2I3Cl6
_cell_length_a 11.440
_cell_length_b 10.137
_cell_length_c 17.465
_cell_angle_alpha 90.00
_cell_angle_beta 102.95
_cell_angle_gamma 90.00
_space_group_name_H-M_alt 'C 1 2/c 1'
_space_group_IT_number 15
loop_
_space_group_symop_operation_xyz
'x,y,z'
'-x,-y,-z'
'-x,y,-z+1/2'
'x,-y,z+1/2'
'x+1/2,y+1/2,z'
'-x+1/2,-y+1/2,-z'
'-x+1/2,y+1/2,-z+1/2'
'x+1/2,-y+1/2,z+1/2'
loop_
_atom_site_label
_atom_site_type_symbol
_atom_site_fract_x
_atom_site_fract_y
_atom_site_fract_z
Rb1 Rb 0.037 0.246 0.003
I1 I 0.000 0.482 0.250
I2 I 0.170 0.044 0.760
Cl1 Cl 0.060 0.484 0.399
Cl2 Cl 0.123 0.022 0.612
Cl3 Cl 0.220 0.064 0.909
```

Here is a relaxed Rb3ICl crystal from Alexandria via LeMat-Bulk. Energies are from GGA-PBE.

## Properties
spin magnetization: 0.00 Bohr magnetons per cell
calculated total energy: -2.448 eV/atom
formation energy from raw total energies: -1.188 eV per atom
calculated volume: 55.2 A^3/atom
distance to the lowest polymorph of the same formula: 0.000 eV/atom

```
data_Rb3ICl
_cell_length_a 6.513
_cell_length_b 6.513
_cell_length_c 6.513
_cell_angle_alpha 90.00
_cell_angle_beta 90.00
_cell_angle_gamma 90.00
_space_group_name_H-M_alt 'P m -3 m'
_space_group_IT_number 221
_space_group_name_Hall '-P 4 2 3'
loop_
_atom_site_label
_atom_site_type_symbol
_atom_site_fract_x
_atom_site_fract_y
_atom_site_fract_z
Rb1 Rb 0.000 0.000 0.500
I1 I 0.500 0.500 0.500
Cl1 Cl 0.000 0.000 0.000
```

Here is a relaxed Rb12I5Cl3 crystal from Alexandria via LeMat-Bulk. Energies are from GGA-PBE.

## Properties
spin magnetization: 0.00 Bohr magnetons per cell
calculated total energy: -2.390 eV/atom
formation energy from raw total energies: -1.145 eV per atom
calculated volume: 71.5 A^3/atom

```
data_Rb12I5Cl3
_cell_length_a 22.531
_cell_length_b 22.531
_cell_length_c 22.531
_cell_angle_alpha 90.00
_cell_angle_beta 90.00
_cell_angle_gamma 90.00
_space_group_name_H-M_alt 'I a -3 d'
_space_group_IT_number 230
_space_group_name_Hall '-I 4bd 2c 3'
loop_
_atom_site_label
_atom_site_type_symbol
_atom_site_fract_x
_atom_site_fract_y
_atom_site_fract_z
Rb1 Rb 0.013 0.029 0.163
I1 I 0.000 0.000 0.000
I2 I 0.000 0.250 0.375
Cl1 Cl 0.000 0.250 0.125
```

Here is a relaxed RbI2Cl4 crystal from Alexandria via LeMat-Bulk. Energies are from GGA-PBE.

## Properties
spin magnetization: 0.00 Bohr magnetons per cell
calculated total energy: -2.286 eV/atom
formation energy from raw total energies: -0.650 eV per atom
calculated volume: 42.3 A^3/atom

```
data_RbI2Cl4
_cell_length_a 8.299
_cell_length_b 9.229
_cell_length_c 9.585
_cell_angle_alpha 78.72
_cell_angle_beta 64.53
_cell_angle_gamma 63.28
_space_group_name_H-M_alt 'P -1'
_space_group_IT_number 2
loop_
_space_group_symop_operation_xyz
'x,y,z'
'-x,-y,-z'
loop_
_atom_site_label
_atom_site_type_symbol
_atom_site_fract_x
_atom_site_fract_y
_atom_site_fract_z
Rb1 Rb 0.124 0.250 0.250
I1 I 0.000 0.000 0.000
I2 I 0.500 0.000 0.500
I3 I 0.500 0.500 0.000
I4 I 0.500 0.500 0.500
Cl1 Cl 0.163 0.575 0.011
Cl2 Cl 0.237 0.425 0.513
Cl3 Cl 0.249 0.925 0.489
Cl4 Cl 0.326 0.925 0.013
```